[1]
DFT (GGA-PBE) results for crystalline Dy6Er8Sc at its relaxed geometry.

Unit cell a=9.2188 b=9.2188 c=6.5327 alpha=90.00 beta=90.00 gamma=120.00
Last column: nearest neighbours and their distance in Å.
Fractional positions:
Dy: 0.0841 0.6798 0.0970  1 Dy 3.14, 3 Er 3.15-3.45, 1 Sc 3.46
Dy: 0.3202 0.4043 0.0970  1 Dy 3.14, 3 Er 3.15-3.45, 1 Sc 3.46
Dy: 0.4043 0.0841 0.9030  1 Dy 3.14, 3 Er 3.15-3.45, 1 Sc 3.46
Dy: 0.5957 0.9159 0.0970  1 Dy 3.14, 3 Er 3.15-3.45, 1 Sc 3.46
Dy: 0.6798 0.5957 0.9030  1 Dy 3.14, 3 Er 3.15-3.45, 1 Sc 3.46
Dy: 0.9159 0.3202 0.9030  1 Dy 3.14, 3 Er 3.15-3.45, 1 Sc 3.46
Er: 0.0214 0.3307 0.3939  3 Dy 3.15-3.45, 4 Er 3.26-3.50
Er: 0.3094 0.9786 0.3939  3 Dy 3.15-3.45, 4 Er 3.26-3.50
Er: 0.3307 0.3094 0.6061  3 Dy 3.15-3.45, 4 Er 3.26-3.50
Er: 0.3333 0.6667 0.6719  6 Er 3.31-3.50, 3 Dy 3.64
Er: 0.6667 0.3333 0.3281  6 Er 3.31-3.50, 3 Dy 3.64
Er: 0.6693 0.6906 0.3939  3 Dy 3.15-3.45, 4 Er 3.26-3.50
Er: 0.6906 0.0214 0.6061  3 Dy 3.15-3.45, 4 Er 3.26-3.50
Er: 0.9786 0.6693 0.6061  3 Dy 3.15-3.45, 4 Er 3.26-3.50
Sc: 0.0000 0.0000 0.0000  6 Dy 3.46

Computed properties:
Size of the total moment: 0.00 μB per atom
Density of states at the Fermi level: 23.2 states/eV/f.u.
SG: P-3, No. 147
Energy relative to the elements: 0.27 eV/atom
Calculated total energy: -66.47 eV/cell

[2]
DFT (GGA-PBE) results for crystalline GaGeC2 at its relaxed geometry.

Unit cell a=4.0213 b=4.0213 c=4.0213 alpha=60.00 beta=60.00 gamma=60.00
Last column: nearest neighbours and their distance in Å.
Fractional positions:
Ga: 0.0000 0.0000 0.0000  8 C 2.46
Ge: 0.5000 0.5000 0.5000  8 C 2.46
C: 0.2500 0.2500 0.2500  4 Ge 2.46, 4 Ga 2.46
C: 0.7500 0.7500 0.7500  4 Ge 2.46, 4 Ga 2.46

Computed properties:
Size of the total moment: 0.00 μB per atom
Density of states at the Fermi level: 1.9 states/eV/f.u.
SG: Fm-3m, No. 225
Energy relative to the elements: 2.04 eV/atom
Calculated total energy: -17.94 eV/cell

[3]
DFT (GGA-PBE) results for crystalline Ac3PPtN at its relaxed geometry.

Unit cell a=9.0335 b=4.2427 c=9.8756 alpha=90.00 beta=99.50 gamma=90.00
Last column: nearest neighbours and their distance in Å.
Fractional positions:
Ac: 0.0966 0.2500 0.3419  1 N 2.38
Ac: 0.1745 0.7500 0.0053  3 N 2.43-2.50
Ac: 0.4012 0.7500 0.6515  3 Pt 3.00-3.07, 2 P 3.09
Ac: 0.5988 0.2500 0.3485  3 Pt 3.00-3.07, 2 P 3.09
Ac: 0.8255 0.2500 0.9947  3 N 2.43-2.50
Ac: 0.9034 0.7500 0.6581  1 N 2.38
P: 0.1679 0.2500 0.7009  4 Ac 3.09-3.17
P: 0.8321 0.7500 0.2991  4 Ac 3.09-3.17
Pt: 0.3525 0.7500 0.3433  5 Ac 3.00-3.14
Pt: 0.6475 0.2500 0.6567  5 Ac 3.00-3.14
N: 0.0881 0.2500 0.1002  4 Ac 2.38-2.50
N: 0.9119 0.7500 0.8998  4 Ac 2.38-2.50

Computed properties:
Size of the total moment: 0.00 μB per atom
Density of states at the Fermi level: 2.7 states/eV/f.u.
SG: P2_1/m, No. 11
Calculated total energy: -77.47 eV/cell
Energy relative to the elements, uncorrected: -1.106 eV/atom